[1]
Computed, not measured: a relaxed structure of TlSe at the GGA-PBE level of DFT.

formation energy from raw total energies: -0.16 eV/f.u.
magnetic moment: 0.00 Bohr magnetons per cell

Lattice parameters (Å, degrees): 4.5759 4.5759 7.3973 90.00 90.00 120.00
Last column: nearest neighbours and their distance in Å.
Sites, in units of the cell vectors:
Tl  0.0000  0.0000  0.4320  3 Se 2.90
Se  0.6667  0.3333  0.2701  3 Tl 2.90
Se  0.0000  0.0000  0.9799  3 Tl 2.90
Tl  0.6667  0.3333  0.8180  3 Se 2.90

---

[2]
Computed, not measured: a relaxed structure of Tl4Se at the GGA-PBE level of DFT.

distance to the lowest polymorph of the same formula: 0.063 eV per atom
formation energy from raw total energies: -0.48 eV/f.u.
magnetic moment: 0.00 Bohr magnetons per cell

Lattice parameters (Å, degrees): 3.9185 3.9188 13.0398 89.92 90.00 120.00
Last column: nearest neighbours and their distance in Å.
Sites, in units of the cell vectors:
Tl  0.6670  0.3340  0.3989  4 Tl 3.27-3.48
Tl  0.3330  0.6660  0.6011  4 Tl 3.27-3.48
Se  0.0000  0.0000  0.0000  6 Tl 2.97
Tl  0.6663  0.3325  0.1480  3 Se 2.97, 1 Tl 3.27
Tl  0.3337  0.6675  0.8520  3 Se 2.97, 1 Tl 3.27

---

[3]
Computed, not measured: a relaxed structure of TlSe3 at the GGA-PBE level of DFT.

formation energy from raw total energies: 0.08 eV/f.u.
magnetic moment: 0.00 Bohr magnetons per cell

Lattice parameters (Å, degrees): 6.4863 6.4863 4.2679 109.40 109.40 38.48
Last column: nearest neighbours and their distance in Å.
Sites, in units of the cell vectors:
Se  0.2653  0.2653  0.2655  1 Se 2.69
Se  0.5000  0.5000  0.5000  2 Se 2.69
Se  0.7347  0.7347  0.7345  1 Se 2.69
Tl  0.0000  0.0000  0.0000  6 Se 3.02-3.04